CaNd2Ag6 | the Alexandria database | PBE | relaxed; formation energy from the elements = -2.327 eV per formula unit; calculated density = 7.5 Mg/m³; N(E_F) = 0.497 states/eV per atom; V = 23.9 Å³/atom
1.0
8.328 0.000 0.000
-4.164 7.213 0.000
0.000 0.000 3.579
Ca Nd Ag
1 2 6
direct
0.000 0.000 0.000
0.333 0.667 0.000
0.667 0.333 0.000
0.000 0.333 0.500
0.000 0.667 0.500
0.333 0.000 0.500
0.333 0.333 0.500
0.667 0.000 0.500
0.667 0.667 0.500